Material: Nd2BiTe4
Method: DFT, PBE
State: optimized geometry

a b c (Å): 16.9078 4.4135 7.9059
angles (deg): 90.00 116.54 90.00
Closest atoms and distances in Å follow each position.
Space group C2/m (No. 12)
Unique sites:
Nd (0.2394, 0.0000, 0.2218) (multiplicity 4)  6 Te 3.12-3.27
Bi (0.0000, 0.5000, 0.5000) (multiplicity 2)  6 Te 3.19-3.23
Te (0.1207, 0.5000, 0.9465) (multiplicity 4)  3 Nd 3.12-3.19, 1 Bi 3.19
Te (0.1337, 0.0000, 0.4731) (multiplicity 4)  3 Nd 3.21-3.27, 2 Bi 3.23

Output
- magnetic moment (Bohr magnetons per cell) = 0.00
- E_form (uncorrected) (eV/atom) = -0.965

Material: Nd8Bi5Te
Method: DFT, PBE
State: optimized geometry

a b c (Å): 9.6421 9.6421 9.6860
angles (deg): 90.00 90.00 90.00
Closest atoms and distances in Å follow each position.
Space group I-4 (No. 82)
Unique sites:
Nd (0.0721, 0.1822, 0.1978) (multiplicity 8)  1 Te 3.18, 5 Bi 3.22-3.48
Nd (0.0716, 0.3212, 0.5530) (multiplicity 8)  5 Bi 3.21-3.48, 1 Te 3.47
Bi (0.0000, 0.0000, 0.5000) (multiplicity 2)  8 Nd 3.21-3.48
Bi (0.1233, 0.2489, 0.8746) (multiplicity 8)  8 Nd 3.22-3.48
Te (0.0000, 0.5000, 0.2500) (multiplicity 2)  8 Nd 3.18-3.47

Output
- magnetic moment (Bohr magnetons per cell) = 0.00
- E_form (uncorrected) (eV/atom) = -0.895

Material: Nd3BiTe2
Method: DFT, PBE
State: optimized geometry

a b c (Å): 6.4122 19.2557 6.4127
angles (deg): 90.00 90.00 90.00
Closest atoms and distances in Å follow each position.
Space group Cmmm (No. 65)
Unique sites:
Nd (0.0000, 0.0000, 0.0000) (multiplicity 2)  6 Te 3.20-3.21
Nd (0.0000, 0.1664, 0.5000) (multiplicity 4)  3 Te 3.21, 3 Bi 3.21
Nd (0.0000, 0.3328, 0.0000) (multiplicity 4)  4 Te 3.21-3.22, 2 Bi 3.21
Nd (0.0000, 0.5000, 0.5000) (multiplicity 2)  4 Te 3.21, 2 Bi 3.21
Bi (0.0000, 0.3334, 0.5000) (multiplicity 4)  6 Nd 3.21
Te (0.0000, 0.0000, 0.5000) (multiplicity 2)  6 Nd 3.21
Te (0.0000, 0.1664, 0.0000) (multiplicity 4)  6 Nd 3.20-3.21
Te (0.0000, 0.5000, 0.0000) (multiplicity 2)  6 Nd 3.21-3.22

Output
- magnetic moment (Bohr magnetons per cell) = 0.00
- E_form (uncorrected) (eV/atom) = -1.286

Material: NdBiTe2
Method: DFT, PBE
State: optimized geometry

a b c (Å): 4.3261 4.3261 29.8010
angles (deg): 90.00 90.00 120.00
Closest atoms and distances in Å follow each position.
Space group R-3m (No. 166, hexagonal axes)
Unique sites:
Nd (0.0000, 0.0000, 0.0000) (multiplicity 3)  6 Te 3.14
Bi (0.0000, 0.0000, 0.5000) (multiplicity 3)  2 Te 3.06
Te (0.0000, 0.0000, 0.3972) (multiplicity 6)  1 Bi 3.06, 3 Nd 3.14

Output
- magnetic moment (Bohr magnetons per cell) = 0.00
- E_form (uncorrected) (eV/atom) = -0.679

Material: Nd3BiTe
Method: DFT, PBE
State: optimized geometry

a b c (Å): 17.9857 4.4200 10.7847
angles (deg): 90.00 107.97 90.00
Closest atoms and distances in Å follow each position.
Space group C2/m (No. 12)
Unique sites:
Nd (0.0119, 0.0000, 0.1719) (multiplicity 4)  1 Te 3.14, 2 Bi 3.20
Nd (0.1504, 0.5000, 0.0536) (multiplicity 4)  3 Te 3.15-3.24, 1 Bi 3.39
Nd (0.1851, 0.0000, 0.5684) (multiplicity 4)  1 Te 3.09, 3 Bi 3.17-3.29
Bi (0.1231, 0.5000, 0.3505) (multiplicity 4)  6 Nd 3.17-3.39
Te (0.1654, 0.0000, 0.8432) (multiplicity 4)  5 Nd 3.09-3.24

Output
- magnetic moment (Bohr magnetons per cell) = 0.00
- E_form (uncorrected) (eV/atom) = -0.657

Material: Nd5Bi4Te
Method: DFT, PBE
State: optimized geometry

a b c (Å): 10.2601 10.2601 6.4927
angles (deg): 90.00 90.00 90.00
Closest atoms and distances in Å follow each position.
Space group I4/m (No. 87)
Unique sites:
Nd (0.0000, 0.0000, 0.0000) (multiplicity 2)  4 Bi 3.24, 2 Te 3.25
Nd (0.1008, 0.6991, 0.5000) (multiplicity 8)  5 Bi 3.23-3.26, 1 Te 3.26
Bi (0.0999, 0.7006, 0.0000) (multiplicity 8)  6 Nd 3.23-3.26
Te (0.0000, 0.0000, 0.5000) (multiplicity 2)  6 Nd 3.25-3.26

Output
- magnetic moment (Bohr magnetons per cell) = 0.00
- E_form (uncorrected) (eV/atom) = -1.067

Material: Nd3BiTe
Method: DFT, PBE
State: optimized geometry

a b c (Å): 8.5089 4.5251 17.1399
angles (deg): 90.00 90.00 90.00
Closest atoms and distances in Å follow each position.
Space group Pnma (No. 62)
Unique sites:
Nd (0.0135, 0.2500, 0.1071) (multiplicity 4)  3 Te 3.21-3.25, 2 Bi 3.49-3.55
Nd (0.1363, 0.2500, 0.5589) (multiplicity 4)  3 Te 3.15-3.48, 2 Bi 3.31
Nd (0.1684, 0.7500, 0.2753) (multiplicity 4)  1 Te 3.13, 4 Bi 3.21-3.32
Bi (0.1121, 0.7500, 0.6991) (multiplicity 4)  8 Nd 3.21-3.55
Te (0.2280, 0.2500, 0.9505) (multiplicity 4)  7 Nd 3.13-3.48

Output
- magnetic moment (Bohr magnetons per cell) = 0.00
- E_form (uncorrected) (eV/atom) = -0.953

Material: NdBi3Te6
Method: DFT, PBE
State: optimized geometry

a b c (Å): 13.1991 4.4210 13.2831
angles (deg): 90.00 109.95 90.00
Closest atoms and distances in Å follow each position.
Space group P2_1/m (No. 11)
Unique sites:
Nd (0.1953, 0.2500, 0.0425) (multiplicity 2)  8 Te 3.25-3.36
Bi (0.0371, 0.7500, 0.2985) (multiplicity 2)  5 Te 3.00-3.30
Bi (0.3401, 0.2500, 0.4426) (multiplicity 2)  6 Te 3.05-3.36
Bi (0.3985, 0.7500, 0.8503) (multiplicity 2)  3 Te 3.01
Te (0.0285, 0.7500, 0.8977) (multiplicity 2)  3 Nd 3.25-3.31, 2 Bi 3.30
Te (0.1188, 0.2500, 0.4691) (multiplicity 2)  3 Bi 3.06-3.09
Te (0.2340, 0.2500, 0.8059) (multiplicity 2)  3 Bi 3.01-3.37, 1 Nd 3.35
Te (0.2397, 0.7500, 0.2432) (multiplicity 2)  3 Bi 3.00-3.36, 2 Nd 3.36
Te (0.3950, 0.7500, 0.0757) (multiplicity 2)  1 Bi 3.01, 2 Nd 3.35
Te (0.4305, 0.7500, 0.6065) (multiplicity 2)  4 Bi 3.05-3.41

Output
- magnetic moment (Bohr magnetons per cell) = 0.00
- E_form (uncorrected) (eV/atom) = -0.521

Material: Nd5Bi2Te2
Method: DFT, PBE
State: optimized geometry

a b c (Å): 16.0661 8.4275 8.4523
angles (deg): 90.00 90.00 90.00
Closest atoms and distances in Å follow each position.
Space group Cmce (No. 64)
Unique sites:
Nd (0.0000, 0.0000, 0.0000) (multiplicity 4)  2 Te 3.17, 4 Bi 3.24-3.25
Nd (0.1383, 0.1599, 0.3426) (multiplicity 16)  3 Te 3.25-3.33, 3 Bi 3.25-3.39
Bi (0.0000, 0.1430, 0.6426) (multiplicity 8)  8 Nd 3.24-3.39, 1 Bi 3.41
Te (0.1975, 0.0000, 0.0000) (multiplicity 8)  7 Nd 3.17-3.33

Output
- magnetic moment (Bohr magnetons per cell) = 0.00
- E_form (uncorrected) (eV/atom) = -1.044

Material: Nd4Bi2Te
Method: DFT, PBE
State: optimized geometry

a b c (Å): 8.7809 10.6733 10.8389
angles (deg): 90.00 90.00 90.00
Closest atoms and distances in Å follow each position.
Space group Imma (No. 74)
Unique sites:
Nd (0.0000, 0.0424, 0.2099) (multiplicity 8)  1 Te 3.12, 3 Bi 3.15-3.18
Nd (0.2188, 0.2500, 0.5453) (multiplicity 8)  2 Te 3.11-3.19, 3 Bi 3.21-3.32
Bi (0.0000, 0.0000, 0.5000) (multiplicity 4)  6 Nd 3.18-3.32
Bi (0.2500, 0.2500, 0.2500) (multiplicity 4)  6 Nd 3.15-3.21
Te (0.0000, 0.2500, 0.7808) (multiplicity 4)  6 Nd 3.11-3.19

Output
- magnetic moment (Bohr magnetons per cell) = 0.00
- E_form (uncorrected) (eV/atom) = -0.762

Material: Nd5Bi5Te
Method: DFT, PBE
State: optimized geometry

a b c (Å): 14.4409 6.4097 9.1680
angles (deg): 90.00 109.05 90.00
Closest atoms and distances in Å follow each position.
Space group C2/m (No. 12)
Unique sites:
Nd (0.0000, 0.0000, 0.0000) (multiplicity 2)  2 Te 3.20, 4 Bi 3.21-3.23
Nd (0.1682, 0.5000, 0.3337) (multiplicity 4)  5 Bi 3.21-3.26, 1 Te 3.23
Nd (0.1707, 0.5000, 0.8352) (multiplicity 4)  5 Bi 3.21-3.34, 1 Te 3.28
Bi (0.0000, 0.5000, 0.5000) (multiplicity 2)  4 Nd 3.25-3.26
Bi (0.1570, 0.0000, 0.8168) (multiplicity 4)  5 Nd 3.21-3.34
Bi (0.1602, 0.0000, 0.3382) (multiplicity 4)  5 Nd 3.21-3.32
Te (0.0000, 0.5000, 0.0000) (multiplicity 2)  6 Nd 3.20-3.28

Output
- magnetic moment (Bohr magnetons per cell) = 0.00
- E_form (uncorrected) (eV/atom) = -0.806

Material: Nd3Bi5Te12
Method: DFT, PBE
State: optimized geometry

a b c (Å): 18.5395 18.5395 18.5395
angles (deg): 90.00 90.00 90.00
Closest atoms and distances in Å follow each position.
Space group Ia-3d (No. 230)
Unique sites:
Nd (0.0000, 0.2500, 0.1250) (multiplicity 24)  8 Te 3.40
Bi (0.0000, 0.0000, 0.0000) (multiplicity 16)  6 Te 3.14
Bi (0.0000, 0.2500, 0.3750) (multiplicity 24)  4 Te 3.01
Te (0.0145, 0.0695, 0.6537) (multiplicity 96)  2 Bi 3.01-3.14

Output
- magnetic moment (Bohr magnetons per cell) = 0.00
- E_form (uncorrected) (eV/atom) = -0.534